(1)
# AgTePdO6 | Alexandria | PBE | relaxed
data_AgTePdO6
_cell_length_a 5.252
_cell_length_b 5.252
_cell_length_c 9.742
_cell_angle_alpha 90.00
_cell_angle_beta 90.00
_cell_angle_gamma 120.00
_symmetry_space_group_name_H-M 'P 1'
_symmetry_Int_Tables_number 1
loop_
_symmetry_equiv_pos_as_xyz
'x,y,z'
loop_
_atom_site_label
_atom_site_fract_x
_atom_site_fract_y
_atom_site_fract_z
Ag1 0.000 0.000 0.000
Ag2 0.000 0.000 0.500
Te1 0.667 0.333 0.250
Te2 0.333 0.667 0.750
Pd1 0.333 0.667 0.250
Pd2 0.667 0.333 0.750
O1 0.637 0.630 0.137
O2 0.993 0.363 0.137
O3 0.363 0.993 0.637
O4 0.007 0.637 0.863
O5 0.370 0.363 0.363
O6 0.993 0.630 0.363
O7 0.630 0.993 0.863
O8 0.637 0.007 0.363
O9 0.007 0.370 0.637
O10 0.370 0.007 0.137
O11 0.630 0.637 0.637
O12 0.363 0.370 0.863
# SG: P-31c
# Density of states at the Fermi level (states/eV/f.u.): 6.84
# Energy relative to the elements, uncorrected (eV/atom): -0.5286

=====

(2)
# PuZr2Sn | Alexandria | PBE | relaxed
data_PuZr2Sn
_cell_length_a 4.229
_cell_length_b 4.663
_cell_length_c 4.663
_cell_angle_alpha 90.00
_cell_angle_beta 90.00
_cell_angle_gamma 90.00
_symmetry_space_group_name_H-M 'P 1'
_symmetry_Int_Tables_number 1
loop_
_symmetry_equiv_pos_as_xyz
'x,y,z'
loop_
_atom_site_label
_atom_site_fract_x
_atom_site_fract_y
_atom_site_fract_z
Sn1 0.500 0.000 0.000
Zr1 0.000 0.000 0.500
Zr2 0.000 0.500 0.000
Pu1 0.500 0.500 0.500
# Energy above the lowest structure with this stoichiometry (meV per atom): 0
# Formation enthalpy at 0 K (kJ/mol of formula units): -110
# SG: P4/mmm
# Density of states at the Fermi level (states/eV/f.u.): 7.97

=====

(3)
# Li2SbPt2 | Alexandria | PBE | relaxed
data_Li2SbPt2
_cell_length_a 7.254
_cell_length_b 7.254
_cell_length_c 3.021
_cell_angle_alpha 90.00
_cell_angle_beta 90.00
_cell_angle_gamma 90.00
_symmetry_space_group_name_H-M 'P 1'
_symmetry_Int_Tables_number 1
loop_
_symmetry_equiv_pos_as_xyz
'x,y,z'
loop_
_atom_site_label
_atom_site_fract_x
_atom_site_fract_y
_atom_site_fract_z
Sb1 0.000 0.000 0.000
Sb2 0.500 0.500 0.000
Pt1 0.352 0.852 0.000
Pt2 0.852 0.648 0.000
Pt3 0.648 0.148 0.000
Pt4 0.148 0.352 0.000
Li1 0.147 0.647 0.500
Li2 0.647 0.853 0.500
Li3 0.853 0.353 0.500
Li4 0.353 0.147 0.500
# Energy above the lowest structure with this stoichiometry (meV per atom): 92
# SG: P4/mbm
# Density of states at the Fermi level (states/eV/f.u.): 2.19
# Energy relative to the elements, uncorrected (eV/atom): -0.4607

=====

(4)
# Rb2GaSbTe4 | Alexandria | PBE | relaxed
data_Rb2GaSbTe4
_cell_length_a 6.966
_cell_length_b 8.506
_cell_length_c 13.568
_cell_angle_alpha 83.97
_cell_angle_beta 75.12
_cell_angle_gamma 65.83
_symmetry_space_group_name_H-M 'P 1'
_symmetry_Int_Tables_number 1
loop_
_symmetry_equiv_pos_as_xyz
'x,y,z'
loop_
_atom_site_label
_atom_site_fract_x
_atom_site_fract_y
_atom_site_fract_z
Rb1 0.185 0.000 0.631
Rb2 0.815 0.000 0.369
Rb3 0.565 0.500 0.869
Rb4 0.935 0.500 0.131
Ga1 0.250 0.500 0.500
Ga2 0.500 0.000 0.000
Sb1 0.750 0.500 0.500
Sb2 0.000 0.000 0.000
Te1 0.323 0.795 0.118
Te2 0.236 0.205 0.882
Te3 0.882 0.795 0.882
Te4 0.559 0.205 0.118
Te5 0.427 0.705 0.382
Te6 0.514 0.295 0.618
Te7 0.868 0.705 0.618
Te8 0.191 0.295 0.382
# SG: Fddd
# Energy relative to the elements, uncorrected (eV/atom): -0.5286

=====

(5)
# Ca2FeRu | Alexandria | PBE | relaxed
data_Ca2FeRu
_cell_length_a 3.370
_cell_length_b 3.370
_cell_length_c 8.384
_cell_angle_alpha 90.00
_cell_angle_beta 90.00
_cell_angle_gamma 90.01
_symmetry_space_group_name_H-M 'P 1'
_symmetry_Int_Tables_number 1
loop_
_symmetry_equiv_pos_as_xyz
'x,y,z'
loop_
_atom_site_label
_atom_site_fract_x
_atom_site_fract_y
_atom_site_fract_z
Ru1 0.500 0.500 0.673
Ca1 0.000 0.000 0.924
Ca2 0.500 0.500 0.325
Fe1 0.000 0.000 0.578
# Energy above the lowest structure with this stoichiometry (meV per atom): 0
# Formation enthalpy at 0 K (kJ/mol of formula units): 85
# SG: P4mm
# Density of states at the Fermi level (states/eV/f.u.): 3.36

=====

(6)
# CaAl3Si | Alexandria | PBE | relaxed
data_CaAl3Si
_cell_length_a 4.244
_cell_length_b 4.245
_cell_length_c 6.373
_cell_angle_alpha 69.83
_cell_angle_beta 69.83
_cell_angle_gamma 90.12
_symmetry_space_group_name_H-M 'P 1'
_symmetry_Int_Tables_number 1
loop_
_symmetry_equiv_pos_as_xyz
'x,y,z'
loop_
_atom_site_label
_atom_site_fract_x
_atom_site_fract_y
_atom_site_fract_z
Ca1 0.405 0.208 0.897
Al1 0.652 0.951 0.405
Al2 0.147 0.455 0.405
Al3 0.790 0.594 0.127
Si1 0.013 0.816 0.678
# Energy above the lowest structure with this stoichiometry (meV per atom): 0
# SG: Cm
# Density of states at the Fermi level (states/eV/f.u.): 2.15
# Energy relative to the elements, uncorrected (eV/atom): -0.2024

=====

(7)
# Ta5Sb | Alexandria | PBE | relaxed
data_Ta5Sb
_cell_length_a 5.384
_cell_length_b 5.384
_cell_length_c 6.721
_cell_angle_alpha 72.07
_cell_angle_beta 72.07
_cell_angle_gamma 37.76
_symmetry_space_group_name_H-M 'P 1'
_symmetry_Int_Tables_number 1
loop_
_symmetry_equiv_pos_as_xyz
'x,y,z'
loop_
_atom_site_label
_atom_site_fract_x
_atom_site_fract_y
_atom_site_fract_z
Sb1 0.972 0.972 0.055
Ta1 0.307 0.307 0.393
Ta2 0.638 0.638 0.718
Ta3 0.646 0.646 0.231
Ta4 0.972 0.972 0.556
Ta5 0.298 0.298 0.880
# Energy above the lowest structure with this stoichiometry (meV per atom): 44
# SG: C2/m
# Density of states at the Fermi level (states/eV/f.u.): 6.42
# Energy relative to the elements, uncorrected (eV/atom): 0.0196

=====

(8)
# TaPbNO2 | Alexandria | PBE | relaxed
data_TaPbNO2
_cell_length_a 4.228
_cell_length_b 4.228
_cell_length_c 4.350
_cell_angle_alpha 90.00
_cell_angle_beta 90.00
_cell_angle_gamma 90.00
_symmetry_space_group_name_H-M 'P 1'
_symmetry_Int_Tables_number 1
loop_
_symmetry_equiv_pos_as_xyz
'x,y,z'
loop_
_atom_site_label
_atom_site_fract_x
_atom_site_fract_y
_atom_site_fract_z
Pb1 0.000 0.000 0.000
N1 0.000 0.000 0.500
O1 0.000 0.500 0.000
O2 0.500 0.000 0.000
Ta1 0.500 0.500 0.500
# SG: P4/mmm
# Density of states at the Fermi level (states/eV/f.u.): 4.32
# Energy relative to the elements, uncorrected (eV/atom): 0.8516

=====

(9)
# InCo4Pb | Alexandria | PBE | relaxed
data_InCo4Pb
_cell_length_a 5.030
_cell_length_b 5.030
_cell_length_c 5.030
_cell_angle_alpha 60.00
_cell_angle_beta 60.00
_cell_angle_gamma 60.00
_symmetry_space_group_name_H-M 'P 1'
_symmetry_Int_Tables_number 1
loop_
_symmetry_equiv_pos_as_xyz
'x,y,z'
loop_
_atom_site_label
_atom_site_fract_x
_atom_site_fract_y
_atom_site_fract_z
In1 0.750 0.750 0.750
Co1 0.873 0.376 0.376
Co2 0.376 0.376 0.873
Co3 0.376 0.873 0.376
Co4 0.376 0.376 0.376
Pb1 0.000 0.000 0.000
# Formation enthalpy at 0 K (kJ/mol of formula units): 190
# SG: F-43m
# Density of states at the Fermi level (states/eV/f.u.): 9.53

=====

(10)
# Rb | Alexandria | PBE | relaxed
data_Rb
_cell_length_a 7.257
_cell_length_b 7.257
_cell_length_c 7.257
_cell_angle_alpha 60.00
_cell_angle_beta 60.00
_cell_angle_gamma 60.00
_symmetry_space_group_name_H-M 'P 1'
_symmetry_Int_Tables_number 1
loop_
_symmetry_equiv_pos_as_xyz
'x,y,z'
loop_
_atom_site_label
_atom_site_fract_x
_atom_site_fract_y
_atom_site_fract_z
Rb1 0.000 0.000 0.000
Rb2 0.750 0.750 0.750
# Energy above the lowest structure with this stoichiometry (meV per atom): 267
# Formation enthalpy at 0 K (kJ/mol of formula units): 26
# SG: Fd-3m
# Density of states at the Fermi level (states/eV/f.u.): 0.61

=====

(11)
# HfAgF2 | Alexandria | PBE | relaxed
data_HfAgF2
_cell_length_a 7.716
_cell_length_b 7.716
_cell_length_c 7.716
_cell_angle_alpha 146.79
_cell_angle_beta 146.79
_cell_angle_gamma 47.67
_symmetry_space_group_name_H-M 'P 1'
_symmetry_Int_Tables_number 1
loop_
_symmetry_equiv_pos_as_xyz
'x,y,z'
loop_
_atom_site_label
_atom_site_fract_x
_atom_site_fract_y
_atom_site_fract_z
Hf1 0.750 0.250 0.500
Hf2 0.000 0.000 0.000
Ag1 0.250 0.750 0.500
Ag2 0.500 0.500 0.000
F1 0.805 0.125 0.180
F2 0.945 0.625 0.820
F3 0.875 0.055 0.680
F4 0.375 0.195 0.320
# Energy above the lowest structure with this stoichiometry (meV per atom): 184
# SG: I-42d
# Density of states at the Fermi level (states/eV/f.u.): 2.00
# Energy relative to the elements, uncorrected (eV/atom): -1.6566

=====

(12)
# InPbAu14 | Alexandria | PBE | relaxed
data_InPbAu14
_cell_length_a 5.923
_cell_length_b 5.923
_cell_length_c 9.642
_cell_angle_alpha 90.00
_cell_angle_beta 90.00
_cell_angle_gamma 115.85
_symmetry_space_group_name_H-M 'P 1'
_symmetry_Int_Tables_number 1
loop_
_symmetry_equiv_pos_as_xyz
'x,y,z'
loop_
_atom_site_label
_atom_site_fract_x
_atom_site_fract_y
_atom_site_fract_z
In1 0.665 0.335 0.000
Pb1 0.165 0.835 0.000
Au1 0.660 0.340 0.500
Au2 0.162 0.838 0.500
Au3 0.173 0.335 0.000
Au4 0.148 0.333 0.500
Au5 0.665 0.827 0.000
Au6 0.667 0.852 0.500
Au7 0.340 0.169 0.741
Au8 0.340 0.169 0.259
Au9 0.831 0.660 0.741
Au10 0.831 0.660 0.259
Au11 0.837 0.163 0.754
Au12 0.837 0.163 0.246
Au13 0.339 0.661 0.740
Au14 0.339 0.661 0.260
# Formation enthalpy at 0 K (kJ/mol of formula units): 37
# SG: Amm2
# Density of states at the Fermi level (states/eV/f.u.): 7.23